# 1
Entry from Alexandria: a relaxed structure of NdAu2Br6 (PBE).

Lattice parameters (Å, degrees): 7.3018 9.7968 9.7968 81.05 83.87 83.87
Positions (direct):
1 Nd 0.2500 0.0966 0.9034
2 Nd 0.7500 0.9034 0.0966
3 Au 0.2376 0.5462 0.6657
4 Au 0.2624 0.3343 0.4538
5 Au 0.7624 0.4538 0.3343
6 Au 0.7376 0.6657 0.5462
7 Br 0.3919 0.7244 0.5015
8 Br 0.1081 0.4985 0.2756
9 Br 0.6081 0.2756 0.4985
10 Br 0.8919 0.5015 0.7244
11 Br 0.8456 0.8799 0.3809
12 Br 0.6544 0.6191 0.1201
13 Br 0.1544 0.1201 0.6191
14 Br 0.3456 0.3809 0.8799
15 Br 0.1051 0.8242 0.9520
16 Br 0.3949 0.0480 0.1758
17 Br 0.8949 0.1758 0.0480
18 Br 0.6051 0.9520 0.8242

Results
volume: 38.1 Å³ per atom
total DFT energy (no corrections): -3.19 eV/atom
space-group type: C2/c
energy relative to the elements, uncorrected: -0.82 eV/atom
spin magnetization: 0.00 μB per formula unit

# 2
Entry from Alexandria: a relaxed structure of Nd6AuBr8 (PBE).

Lattice parameters (Å, degrees): 7.2995 7.2995 11.6986 71.82 71.82 60.00
Positions (direct):
1 Nd 0.9467 0.6231 0.1597
2 Nd 0.7295 0.0533 0.8403
3 Nd 0.3769 0.7295 0.8403
4 Nd 0.6231 0.2705 0.1597
5 Nd 0.2705 0.9467 0.1597
6 Nd 0.0533 0.3769 0.8403
7 Au 0.0000 0.0000 0.0000
8 Br 0.7746 0.4427 0.6742
9 Br 0.8914 0.2254 0.3258
10 Br 0.5573 0.8914 0.3258
11 Br 0.3333 0.3333 0.0000
12 Br 0.6667 0.6667 0.0000
13 Br 0.4427 0.1086 0.6742
14 Br 0.1086 0.7746 0.6742
15 Br 0.2254 0.5573 0.3258

Results
volume: 33.6 Å³ per atom
total DFT energy (no corrections): -4.44 eV/atom
space-group type: R-3
energy relative to the elements, uncorrected: -1.42 eV/atom
spin magnetization: 0.00 μB per formula unit

# 3
Entry from Alexandria: a relaxed structure of Nd2AuBr2 (PBE).

Lattice parameters (Å, degrees): 4.1686 4.1686 11.4629 79.52 79.52 60.00
Site moments in Bohr magnetons follow the coordinates.
Positions (direct):
1 Nd 0.6118 0.6118 0.1646  0.09
2 Nd 0.3882 0.3882 0.8354  0.09
3 Au 0.0000 0.0000 0.0000  0.04
4 Br 0.2221 0.2221 0.3337  0.00
5 Br 0.7779 0.7779 0.6663  0.00

Results
volume: 33.7 Å³ per atom
total DFT energy (no corrections): -4.54 eV/atom
space-group type: R-3m
energy relative to the elements, uncorrected: -1.31 eV/atom
spin magnetization: 0.52 μB per formula unit

# 4
Entry from Alexandria: a relaxed structure of Nd2AuBr (PBE).

Lattice parameters (Å, degrees): 3.5635 3.5635 8.3996 90.00 90.00 90.00
Positions (direct):
1 Nd 0.0000 0.0000 0.7728
2 Nd 0.0000 0.0000 0.2272
3 Au 0.5000 0.5000 0.0000
4 Br 0.5000 0.5000 0.5000

Results
offset from the most stable computed form: 86 meV per atom
volume: 26.7 Å³ per atom
total DFT energy (no corrections): -4.50 eV/atom
space-group type: P4/mmm
energy relative to the elements, uncorrected: -0.88 eV/atom
spin magnetization: 0.00 μB per formula unit

# 5
Entry from Alexandria: a relaxed structure of Nd3AuBr3 (PBE).

Lattice parameters (Å, degrees): 10.5771 10.5765 10.5762 109.47 109.47 109.48
Positions (direct):
1 Nd 0.9802 0.4901 0.2401
2 Nd 0.5099 0.0198 0.2599
3 Nd 0.2500 0.0099 0.4901
4 Nd 0.9901 0.7500 0.0099
5 Nd 0.9901 0.2401 0.4802
6 Nd 0.7599 0.0099 0.0198
7 Nd 0.7401 0.4802 0.4901
8 Nd 0.7599 0.7500 0.2401
9 Nd 0.5198 0.2599 0.0099
10 Nd 0.2500 0.2401 0.2599
11 Nd 0.7401 0.2599 0.7500
12 Nd 0.5099 0.4901 0.7500
13 Au 0.7500 0.5000 0.0000
14 Au 0.5000 0.2500 0.5000
15 Au 0.7500 0.2500 0.2500
16 Au 0.0000 0.0000 0.2500
17 Br 0.2457 0.9957 0.9914
18 Br 0.7500 0.7543 0.7457
19 Br 0.4914 0.7457 0.9957
20 Br 0.0043 0.2500 0.9957
21 Br 0.2543 0.7457 0.2500
22 Br 0.4957 0.5043 0.2500
23 Br 0.2457 0.2500 0.7543
24 Br 0.2543 0.5086 0.5043
25 Br 0.7500 0.9957 0.5043
26 Br 0.0086 0.5043 0.7543
27 Br 0.0043 0.7543 0.5086
28 Br 0.4957 0.9914 0.7457

Results
volume: 32.5 Å³ per atom
total DFT energy (no corrections): -4.55 eV/atom
space-group type: I4_132
energy relative to the elements, uncorrected: -1.32 eV/atom
spin magnetization: 0.00 μB per formula unit

# 6
Entry from Alexandria: a relaxed structure of Nd2AuBr (PBE).

Lattice parameters (Å, degrees): 4.1710 4.1710 8.3816 75.59 75.59 60.00
Positions (direct):
1 Nd 0.0723 0.0723 0.7831
2 Nd 0.2614 0.2614 0.2158
3 Au 0.6677 0.6677 0.9969
4 Br 0.4986 0.4986 0.5042

Results
offset from the most stable computed form: 22 meV per atom
volume: 30.2 Å³ per atom
total DFT energy (no corrections): -4.56 eV/atom
space-group type: R3m
energy relative to the elements, uncorrected: -0.94 eV/atom
spin magnetization: 0.00 μB per formula unit